*P*
This record from Alexandria via LeMat-Bulk describes a relaxed structure of Ac3La4Pr2. The functional is PBE. Values from VASP.

Quantum ESPRESSO input file:
```
&SYSTEM
  ibrav = 0, nat = 9, ntyp = 3
/
ATOMIC_SPECIES
Ac 227.00 Ac.upf
La 138.91 La.upf
Pr 140.91 Pr.upf
ATOMIC_POSITIONS angstrom
Ac 2.692 0.325 6.000
Ac 0.000 4.945 2.182
Ac 0.000 0.000 0.000
La 2.692 2.457 1.113
La 2.692 3.872 4.643
La 0.000 2.813 7.069
La 0.000 1.398 3.539
Pr 0.000 -2.159 4.935
Pr 2.692 7.429 3.247
CELL_PARAMETERS angstrom
5.384 0.000 0.000
0.000 8.524 0.754
-2.692 -3.254 7.428
```


*Q*
This record from Alexandria via LeMat-Bulk describes a relaxed structure of Ac3La4Pr2. The functional is PBE. Values from VASP.

Quantum ESPRESSO input file:
```
&SYSTEM
  ibrav = 0, nat = 18, ntyp = 3
/
ATOMIC_SPECIES
Ac 227.00 Ac.upf
La 138.91 La.upf
Pr 140.91 Pr.upf
ATOMIC_POSITIONS angstrom
Ac -2.497 2.066 14.561
Ac -0.997 -2.167 3.738
Ac -4.990 -3.485 3.576
Ac -6.490 0.747 14.398
Ac -3.945 1.234 8.343
Ac -3.542 -2.654 9.794
La -7.356 1.168 6.919
La -9.351 -0.853 9.136
La -0.131 -2.588 11.217
La 1.864 -0.567 9.000
La -1.683 0.545 11.197
La -1.177 -1.015 7.334
La -5.804 -1.965 6.940
La -6.310 -0.404 10.802
Pr -3.757 -1.430 13.397
Pr -2.796 -4.189 6.386
Pr -3.730 0.010 4.740
Pr -4.691 2.769 11.750
CELL_PARAMETERS angstrom
-3.540 -5.237 1.308
3.156 -1.089 10.297
-7.103 4.906 6.531
```


Energy relative to the most stable one, in eV/atom: *P* 0.000; *Q* 0.060